A geometry-optimized La2BeP structure. Source: the Alexandria database, functional GGA-PBE.

abc: 4.283 4.283 6.018
angles: 90.00 90.00 90.00
Last column: magnetic moment on the atom in μB.
Element x y z (fractional)
P 0.000 0.000 0.375  -0.02
Be 0.500 0.500 0.875  0.12
La 0.000 0.000 0.875  0.20
La 0.500 0.500 0.375  0.13

Results
Total moment (μB per formula unit): 1.24
ΔE_f (eV/atom): -0.43
D(E_F) (states/eV per cell): 5.24
Excess energy over the best structure of this formula in the dataset (eV per atom): 0.255